# 1
A plane-wave DFT calculation with PBE was carried out for crystalline RbCdPbAu2 at its relaxed geometry.

Lattice parameters (Å, degrees): 5.6401 5.7794 5.6401 90.00 90.00 90.00
Element x y z (fractional)
Cd (0.0000, 0.5000, 0.0000)
Rb (0.5000, 0.5000, 0.5000)
Au (0.5000, 0.0000, 0.0000)
Au (0.0000, 0.0000, 0.5000)
Pb (0.0000, 0.0000, 0.0000)

Results
- V (Å³/f.u.) = 183.8
- offset from the most stable computed form (kJ/mol of atoms) = 17.35
- space-group type = P4/mmm
- energy of formation from the pure elements (eV/f.u.) = 0.2



# 2
A plane-wave DFT calculation with PBE was carried out for crystalline RbCd2PbAu at its relaxed geometry.

Lattice parameters (Å, degrees): 5.4452 5.4452 5.6720 90.00 90.00 90.00
Element x y z (fractional)
Rb (0.5000, 0.5000, 0.5000)
Cd (0.5000, 0.0000, 0.0000)
Cd (0.0000, 0.5000, 0.0000)
Au (0.0000, 0.0000, 0.0000)
Pb (0.0000, 0.0000, 0.5000)

Results
- V (Å³/f.u.) = 168.2
- offset from the most stable computed form (kJ/mol of atoms) = 13.70
- space-group type = P4/mmm
- energy of formation from the pure elements (eV/f.u.) = 0.0



# 3
A plane-wave DFT calculation with PBE was carried out for crystalline CdRhPbAu at its relaxed geometry.

Lattice parameters (Å, degrees): 4.8103 4.8103 4.8103 60.00 60.00 60.00
Element x y z (fractional)
Rh (0.5000, 0.5000, 0.5000)
Au (0.0000, 0.0000, 0.0000)
Pb (0.2500, 0.2500, 0.2500)
Cd (0.7500, 0.7500, 0.7500)

Results
- V (Å³/f.u.) = 78.7
- space-group type = F-43m
- energy of formation from the pure elements (eV/f.u.) = 0.2



# 4
A plane-wave DFT calculation with PBE was carried out for crystalline Cd2SbPbAu4 at its relaxed geometry.

Lattice parameters (Å, degrees): 5.0113 5.0113 8.5339 72.93 72.93 60.00
Element x y z (fractional)
Au (0.3800, 0.3800, 0.8601)
Au (0.6200, 0.6200, 0.1399)
Au (0.8680, 0.8680, 0.3959)
Au (0.1320, 0.1320, 0.6041)
Cd (0.7456, 0.7456, 0.7633)
Cd (0.2544, 0.2544, 0.2367)
Pb (0.0000, 0.0000, 0.0000)
Sb (0.5000, 0.5000, 0.5000)

Results
- V (Å³/f.u.) = 174.6
- uncorrected formation energy (eV per atom) = 0.00
- space-group type = R-3m



# 5
A plane-wave DFT calculation with PBE was carried out for crystalline CdSi3Pb4Au12 at its relaxed geometry.

Lattice parameters (Å, degrees): 8.5338 8.5338 8.5338 109.47 109.47 109.47
Element x y z (fractional)
Au (0.7364, 0.7364, 0.0000)
Au (0.0000, 0.7364, 0.7364)
Au (0.2500, 0.5000, 0.7500)
Au (0.7500, 0.5000, 0.2500)
Au (0.2636, 0.2636, 0.0000)
Au (0.5000, 0.2500, 0.7500)
Au (0.0000, 0.2636, 0.2636)
Au (0.7364, 0.0000, 0.7364)
Au (0.5000, 0.7500, 0.2500)
Au (0.7500, 0.2500, 0.5000)
Au (0.2636, 0.0000, 0.2636)
Au (0.2500, 0.7500, 0.5000)
Si (0.5000, 0.5000, 0.0000)
Si (0.0000, 0.5000, 0.5000)
Si (0.5000, 0.0000, 0.5000)
Pb (0.5000, 0.5000, 0.5000)
Pb (0.5000, 0.0000, 0.0000)
Pb (0.0000, 0.5000, 0.0000)
Pb (0.0000, 0.0000, 0.5000)
Cd (0.0000, 0.0000, 0.0000)

Results
- V (Å³/f.u.) = 478.4
- uncorrected formation energy (eV per atom) = 0.13
- space-group type = Im-3m



# 6
A plane-wave DFT calculation with PBE was carried out for crystalline CdSiPb2Au6 at its relaxed geometry.

Lattice parameters (Å, degrees): 5.6903 9.0361 9.0146 90.00 90.00 90.00
Element x y z (fractional)
Au (0.2487, 0.4470, 0.5000)
Au (0.7513, 0.4470, 0.5000)
Au (0.2513, 0.5530, 0.0000)
Au (0.0000, 0.8907, 0.7558)
Au (0.2459, 0.9869, 0.5000)
Au (0.7541, 0.9869, 0.5000)
Au (0.5000, 0.1093, 0.7442)
Au (0.7487, 0.5530, 0.0000)
Au (0.7459, 0.0131, 0.0000)
Au (0.5000, 0.1093, 0.2558)
Au (0.0000, 0.8907, 0.2442)
Au (0.2541, 0.0131, 0.0000)
Cd (0.0000, 0.7081, 0.5000)
Cd (0.5000, 0.2919, 0.0000)
Si (0.5000, 0.2271, 0.5000)
Si (0.0000, 0.7729, 0.0000)
Pb (0.5000, 0.7077, 0.7256)
Pb (0.5000, 0.7077, 0.2744)
Pb (0.0000, 0.2923, 0.2256)
Pb (0.0000, 0.2923, 0.7744)

Results
- V (Å³/f.u.) = 231.8
- uncorrected formation energy (eV per atom) = -0.03
- space-group type = Pmmn